1.
Below is an optimized crystal structure of KSr4Mg, with properties calculated at the PBE level.

a = 11.066 Å, b = 11.066 Å, c = 11.066 Å
α = 90.00°, β = 90.00°, γ = 90.00°
Space group F-43m (No. 216)
Inequivalent atoms, fractional coordinates:
1 K 0.000 0.000 0.000
2 Sr 0.124 0.124 0.376
3 Mg 0.250 0.250 0.750

- formation energy from the elements (eV per atom) = 0.30
- crystal system = cubic

2.
Below is an optimized crystal structure of BaSeCl2, with properties calculated at the PBE level.

a = 4.349 Å, b = 4.349 Å, c = 11.634 Å
α = 90.00°, β = 90.00°, γ = 90.00°
Space group I-4m2 (No. 119)
Inequivalent atoms, fractional coordinates:
1 Ba 0.000 0.000 0.000
2 Se 0.000 0.500 0.250
3 Cl 0.000 0.000 0.500
4 Cl 0.000 0.500 0.750

- uncorrected formation energy (eV per atom) = -1.311
- crystal system = tetragonal
- energy relative to the lowest polymorph listed for this composition (kJ per mole of atoms) = 23.6

Total energy values, unit eV per atom, following the record order: -1.27 -3.59.
Total moment values, unit μB/atom, following the record order: 0.0000 0.0000.